No. 1
A plane-wave DFT calculation with PBE-GGA was carried out for Al3GaCl after structural relaxation.

a = 5.027 Å, b = 5.027 Å, c = 5.027 Å
α = 90.00°, β = 90.00°, γ = 90.00°
Positions (direct):
Al: 0.000 0.500 0.000
Al: 0.500 0.000 0.000
Al: 0.000 0.000 0.500
Ga: 0.000 0.000 0.000
Cl: 0.500 0.500 0.500

ΔE to the lowest computed polymorph: 0 meV per atom
energy relative to the elements, uncorrected: 0.370 eV per atom

---

No. 2
A plane-wave DFT calculation with PBE-GGA was carried out for AlGa3Cl6 after structural relaxation.

a = 7.241 Å, b = 9.591 Å, c = 9.591 Å
α = 104.77°, β = 90.00°, γ = 90.00°
Positions (direct):
Cl: 0.735 0.217 0.783
Cl: 0.098 0.059 0.941
Cl: 0.598 0.941 0.059
Cl: 0.235 0.783 0.217
Cl: 0.211 0.353 0.327
Cl: 0.653 0.894 0.407
Cl: 0.653 0.593 0.106
Cl: 0.153 0.407 0.894
Cl: 0.211 0.673 0.647
Cl: 0.711 0.327 0.353
Cl: 0.711 0.647 0.673
Cl: 0.153 0.106 0.593
Al: 0.029 0.199 0.801
Al: 0.529 0.801 0.199
Ga: 0.972 0.706 0.880
Ga: 0.949 0.590 0.410
Ga: 0.449 0.410 0.590
Ga: 0.472 0.880 0.706
Ga: 0.972 0.120 0.294
Ga: 0.472 0.294 0.120

energy relative to the elements, uncorrected: -1.056 eV per atom

---

No. 3
A plane-wave DFT calculation with PBE-GGA was carried out for Al2Ga2Cl7 after structural relaxation.

a = 6.311 Å, b = 7.767 Å, c = 15.353 Å
α = 90.00°, β = 90.00°, γ = 97.63°
Each line ends with the local moment (μB).
Positions (direct):
Cl: 0.611 0.491 0.811  0.02
Cl: 0.703 0.382 0.562  0.02
Cl: 0.000 0.500 0.000  0.00
Cl: 0.297 0.118 0.062  0.02
Cl: 0.890 0.233 0.204  0.02
Cl: 0.110 0.767 0.796  0.02
Cl: 0.890 0.733 0.296  0.02
Cl: 0.611 0.991 0.689  0.02
Cl: 0.110 0.267 0.704  0.02
Cl: 0.389 0.509 0.189  0.02
Cl: 0.000 0.000 0.500  0.00
Cl: 0.703 0.882 0.938  0.02
Cl: 0.297 0.618 0.438  0.02
Cl: 0.389 0.009 0.311  0.02
Ga: 0.394 0.582 0.654  0.03
Ga: 0.606 0.918 0.154  0.03
Ga: 0.606 0.418 0.346  0.03
Ga: 0.394 0.082 0.846  0.03
Al: 0.852 0.161 0.613  0.12
Al: 0.148 0.839 0.387  0.12
Al: 0.148 0.339 0.113  0.12
Al: 0.852 0.661 0.887  0.12

energy relative to the elements, uncorrected: -1.044 eV per atom

---

No. 4
A plane-wave DFT calculation with PBE-GGA was carried out for AlGaCl3 after structural relaxation.

a = 5.014 Å, b = 5.014 Å, c = 5.014 Å
α = 90.00°, β = 90.00°, γ = 90.00°
Positions (direct):
Cl: 0.000 0.000 0.500
Cl: 0.500 0.000 0.000
Cl: 0.000 0.500 0.000
Al: 0.000 0.000 0.000
Ga: 0.500 0.500 0.500

ΔE to the lowest computed polymorph: 0 meV per atom
energy relative to the elements, uncorrected: -0.805 eV per atom

---

No. 5
A plane-wave DFT calculation with PBE-GGA was carried out for Al3GaCl after structural relaxation.

a = 5.038 Å, b = 5.038 Å, c = 5.038 Å
α = 90.00°, β = 90.00°, γ = 90.00°
Positions (direct):
Al: 0.500 0.000 0.000
Al: 0.000 0.500 0.000
Al: 0.000 0.000 0.500
Cl: 0.000 0.000 0.000
Ga: 0.500 0.500 0.500

ΔE to the lowest computed polymorph: 295 meV per atom
energy relative to the elements, uncorrected: 0.665 eV per atom

---

No. 6
A plane-wave DFT calculation with PBE-GGA was carried out for AlGaGe2Cl after structural relaxation.

a = 4.998 Å, b = 4.960 Å, c = 4.998 Å
α = 90.00°, β = 90.00°, γ = 90.00°
Positions (direct):
Ga: 0.000 0.000 0.000
Cl: 0.000 0.500 0.000
Ge: 0.500 0.000 0.000
Ge: 0.000 0.000 0.500
Al: 0.500 0.500 0.500

energy relative to the elements, uncorrected: 0.471 eV per atom